# 1
# CdAsBr (GGA-PBE, optimized geometry)
data_CdAsBr
_cell_length_a 3.5626
_cell_length_b 3.5626
_cell_length_c 7.5815
_cell_angle_alpha 90.00
_cell_angle_beta 90.00
_cell_angle_gamma 120.00
_symmetry_space_group_name_H-M 'P 3 m 1'
_symmetry_Int_Tables_number 156
loop_
_symmetry_equiv_pos_as_xyz
'x,y,z'
'-y,x-y,z'
'-x+y,-x,z'
'-y,-x,z'
'-x+y,y,z'
'x,x-y,z'
loop_
_atom_site_label
_atom_site_fract_x
_atom_site_fract_y
_atom_site_fract_z
Cd1 0.0000 0.0000 0.0000
As1 0.6667 0.3333 0.2686
Br1 0.3333 0.6667 0.7534
# E_form (uncorrected) = 14.3 meV/atom
# Energy relative to the lowest polymorph listed for this composition = 453 meV per atom
# Calculated volume = 27.78 Å³/atom



# 2
# Cd4AsBrCl2 (GGA-PBE, optimized geometry)
data_Cd4AsBrCl2
_cell_length_a 11.178
_cell_length_b 7.145
_cell_length_c 7.362
_cell_angle_alpha 90.00
_cell_angle_beta 90.00
_cell_angle_gamma 90.00
_symmetry_space_group_name_H-M 'P m n 21'
_symmetry_Int_Tables_number 31
loop_
_symmetry_equiv_pos_as_xyz
'x,y,z'
'-x+1/2,-y,z+1/2'
'-x,y,z'
'x+1/2,-y,z+1/2'
loop_
_atom_site_label
_atom_site_fract_x
_atom_site_fract_y
_atom_site_fract_z
Cd1 0.000 0.165 0.000
Cd2 0.000 0.794 0.536
Cd3 0.131 0.529 0.990
As1 0.000 0.814 0.884
Br1 0.000 0.125 0.381
Cl1 0.175 0.609 0.351
# E_form (uncorrected) = -482.4 meV/atom
# Calculated volume = 36.75 Å³/atom



# 3
# Cd4AsBr2Cl (GGA-PBE, optimized geometry)
data_Cd4AsBr2Cl
_cell_length_a 7.798
_cell_length_b 8.693
_cell_length_c 7.516
_cell_angle_alpha 90.00
_cell_angle_beta 90.00
_cell_angle_gamma 90.00
_symmetry_space_group_name_H-M 'P m n 21'
_symmetry_Int_Tables_number 31
loop_
_symmetry_equiv_pos_as_xyz
'x,y,z'
'-x+1/2,-y,z+1/2'
'-x,y,z'
'x+1/2,-y,z+1/2'
loop_
_atom_site_label
_atom_site_fract_x
_atom_site_fract_y
_atom_site_fract_z
Cd1 0.000 0.050 0.000
Cd2 0.000 0.809 0.585
Cd3 0.178 0.346 0.490
As1 0.000 0.760 0.924
Br1 0.220 0.297 0.912
Cl1 0.000 0.045 0.360
# E_form (uncorrected) = -472.9 meV/atom
# Calculated volume = 31.85 Å³/atom



# 4
# CdAsBr2Cl (GGA-PBE, optimized geometry)
data_CdAsBr2Cl
_cell_length_a 5.210
_cell_length_b 5.210
_cell_length_c 5.347
_cell_angle_alpha 90.00
_cell_angle_beta 90.00
_cell_angle_gamma 90.00
_symmetry_space_group_name_H-M 'P 4/m m m'
_symmetry_Int_Tables_number 123
_symmetry_space_group_name_Hall '-P 4 2'
loop_
_atom_site_label
_atom_site_fract_x
_atom_site_fract_y
_atom_site_fract_z
Cd1 0.000 0.000 0.000
As1 0.500 0.500 0.000
Br1 0.000 0.500 0.500
Cl1 0.500 0.500 0.500
# E_form (uncorrected) = 559.5 meV/atom
# Energy relative to the lowest polymorph listed for this composition = 269 meV per atom
# Calculated volume = 29.03 Å³/atom